# 1
! Tb3Ho3Tl PBE-GGA relaxed; values from VASP
! E above lowest polymorph	0	meV/atom
! final energy	-0.3198	Ry per atom
! energy of formation from the pure elements	-0.066	eV per atom
! calculated density	9.2	g cm⁻³
! space-group type	P6_3/m
! density of states at the Fermi level	1.377	states/eV/atom
&SYSTEM
  ibrav = 0, nat = 14, ntyp = 3
/
ATOMIC_SPECIES
Tb 158.93 Tb.upf
Ho 164.93 Ho.upf
Tl 204.38 Tl.upf
ATOMIC_POSITIONS angstrom
Tb 4.1539 2.7501 3.0201
Tb 1.3846 1.9525 5.1040
Tb 4.1539 5.9478 4.2337
Tb 4.1539 5.4012 0.8562
Tb 1.3846 -1.2451 3.8904
Tb 1.3846 -0.6985 7.2679
Ho 4.1539 -2.7309 7.6291
Ho 4.1539 -0.5375 1.9510
Ho 1.3846 7.4336 0.4950
Ho 4.1539 3.2821 6.6828
Ho 1.3846 5.2402 6.1731
Ho 1.3846 1.4206 1.4413
Tl 4.1539 0.0033 5.4215
Tl 1.3846 4.6994 2.7026
CELL_PARAMETERS angstrom
5.5385 0.0000 0.0000
0.0000 9.3920 -0.0141
0.0000 -4.6893 8.1382

---

# 2
! Tb3Ho5Tl2 PBE-GGA relaxed; values from VASP
! final energy	-0.3123	Ry per atom
! energy of formation from the pure elements	-0.097	eV per atom
! calculated density	9.4	g cm⁻³
! space-group type	C2/c
! density of states at the Fermi level	1.176	states/eV/atom
&SYSTEM
  ibrav = 0, nat = 20, ntyp = 3
/
ATOMIC_SPECIES
Ho 164.93 Ho.upf
Tb 158.93 Tb.upf
Tl 204.38 Tl.upf
ATOMIC_POSITIONS angstrom
Ho 10.1431 9.3821 6.2356
Ho 8.4349 4.4340 2.4654
Ho 6.9677 7.9492 6.9698
Ho 9.2890 6.1755 5.3119
Ho 6.1136 6.2076 4.1234
Ho 11.1102 6.5199 8.0759
Ho 7.9349 8.9639 3.7219
Ho 5.2594 3.0011 3.1997
Ho 4.2923 5.8632 1.3593
Ho 7.4676 3.4192 5.7134
Tb 4.4010 1.9976 6.6674
Tb 11.0016 10.3855 2.7679
Tb 7.8260 4.8721 8.8576
Tb 9.2889 2.0570 10.7173
Tb 6.1136 10.3262 -1.2820
Tb 7.5765 7.5111 0.5777
Tl 11.0100 4.6895 10.5596
Tl 4.3926 7.6937 -1.1244
Tl 7.8346 10.8729 1.2980
Tl 7.5680 1.5103 8.1373
CELL_PARAMETERS angstrom
6.3509 1.1052 0.8422
4.5259 10.3519 -1.8889
4.5258 0.9260 10.4821

---

# 3
! Tb4Ho5Tl2 PBE-GGA relaxed; values from VASP
! final energy	-0.2897	Ry per atom
! energy of formation from the pure elements	0.253	eV per atom
! calculated density	8.4	g cm⁻³
! space-group type	R-3m
! density of states at the Fermi level	1.245	states/eV/atom
&SYSTEM
  ibrav = 0, nat = 11, ntyp = 3
/
ATOMIC_SPECIES
Ho 164.93 Ho.upf
Tl 204.38 Tl.upf
Tb 158.93 Tb.upf
ATOMIC_POSITIONS angstrom
Ho 5.2152 3.0110 7.8087
Ho 5.2152 3.0110 0.8685
Ho 2.6076 1.5055 6.3260
Ho 7.8228 4.5165 9.2914
Ho 5.2152 3.0110 14.7489
Tl 2.6076 1.5055 9.9839
Tl 7.8228 4.5165 5.6335
Tb 7.8228 4.5165 12.8833
Tb 5.2152 3.0110 4.3749
Tb 5.2152 3.0110 11.2425
Tb 2.6076 1.5055 2.7341
CELL_PARAMETERS angstrom
5.2152 0.0000 0.0000
2.6076 4.5165 0.0000
2.6076 1.5055 15.6173

---

# 4
! TbHo2Tl9 PBE-GGA relaxed; values from VASP
! final energy	-0.2317	Ry per atom
! energy of formation from the pure elements	-0.229	eV per atom
! calculated density	11.9	g cm⁻³
! space-group type	P4/mmm
! density of states at the Fermi level	0.224	states/eV/atom
&SYSTEM
  ibrav = 0, nat = 12, ntyp = 3
/
ATOMIC_SPECIES
Tl 204.38 Tl.upf
Ho 164.93 Ho.upf
Tb 158.93 Tb.upf
ATOMIC_POSITIONS angstrom
Tl 1.8263 -1.2570 2.5463
Tl 2.0589 2.0116 1.7645
Tl -0.7636 0.8146 3.1785
Tl 11.2917 1.8925 4.0132
Tl 8.4869 0.6952 5.4315
Tl 3.8675 0.7548 4.3064
Tl 6.6753 1.9521 2.8888
Tl 6.4427 -1.3166 3.6706
Tl 11.0591 -1.3762 4.7950
Ho 4.6286 -0.0597 1.1273
Ho 9.2530 -0.1194 2.2536
Tb 0.0000 0.0000 0.0000
CELL_PARAMETERS angstrom
-0.5310 4.0832 2.3967
-0.9962 -2.4541 3.9603
13.8817 -0.1791 3.3809

---

# 5
! Tb2Ho3Tl PBE-GGA relaxed; values from VASP
! E above lowest polymorph	0	meV/atom
! final energy	-0.3185	Ry per atom
! energy of formation from the pure elements	-0.106	eV per atom
! calculated density	9.5	g cm⁻³
! space-group type	Cmmm
! density of states at the Fermi level	1.146	states/eV/atom
&SYSTEM
  ibrav = 0, nat = 6, ntyp = 3
/
ATOMIC_SPECIES
Tb 158.93 Tb.upf
Tl 204.38 Tl.upf
Ho 164.93 Ho.upf
ATOMIC_POSITIONS angstrom
Tb 3.3850 -3.7256 0.8423
Tb 0.4637 -3.2064 -1.1832
Tl 0.0000 0.0000 0.0000
Ho -2.5606 -2.2799 0.2059
Ho 0.2921 -2.7236 2.2144
Ho 0.7617 -5.9365 1.0326
CELL_PARAMETERS angstrom
-2.7949 -1.7282 3.5879
-2.3263 -2.8317 -3.1761
6.1749 -4.1003 2.8352

---

# 6
! Tb2HoTl PBE-GGA relaxed; values from VASP
! E above lowest polymorph	0	meV/atom
! final energy	-0.3111	Ry per atom
! energy of formation from the pure elements	-0.182	eV per atom
! calculated density	10.0	g cm⁻³
! space-group type	P4/mmm
! density of states at the Fermi level	1.276	states/eV/atom
&SYSTEM
  ibrav = 0, nat = 4, ntyp = 3
/
ATOMIC_SPECIES
Tl 204.38 Tl.upf
Ho 164.93 Ho.upf
Tb 158.93 Tb.upf
ATOMIC_POSITIONS angstrom
Tl 2.4325 0.0000 0.0000
Ho 2.4325 2.4257 2.4257
Tb 0.0000 2.4257 0.0000
Tb 0.0000 0.0000 2.4257
CELL_PARAMETERS angstrom
4.8649 0.0000 0.0000
0.0000 4.8513 0.0000
0.0000 0.0000 4.8513

---

# 7
! Tb2HoTl9 PBE-GGA relaxed; values from VASP
! final energy	-0.2329	Ry per atom
! energy of formation from the pure elements	-0.240	eV per atom
! calculated density	11.9	g cm⁻³
! space-group type	P4/mmm
! density of states at the Fermi level	0.236	states/eV/atom
&SYSTEM
  ibrav = 0, nat = 12, ntyp = 3
/
ATOMIC_SPECIES
Tl 204.38 Tl.upf
Ho 164.93 Ho.upf
Tb 158.93 Tb.upf
ATOMIC_POSITIONS angstrom
Tl -1.2756 -9.6254 -2.8387
Tl -0.9632 -2.0913 -2.4528
Tl -2.0000 -11.9852 -0.5367
Tl 2.1040 -0.7118 -2.5368
Tl -2.6558 -6.5555 -2.6040
Tl -0.3074 -7.5210 -0.3855
Tl 1.3851 -3.0568 -0.2343
Tl -4.3484 -11.0197 -2.7552
Tl 0.4164 -5.1628 -2.6876
Ho 0.0000 0.0000 0.0000
Tb -3.3784 -8.9105 -0.3018
Tb -1.6888 -4.4542 -0.1509
CELL_PARAMETERS angstrom
-0.2444 0.2537 -4.7554
4.4523 -1.6773 -0.3183
-5.0672 -13.3647 -0.4527

---

# 8
! Tb4Ho5Tl4 PBE-GGA relaxed; values from VASP
! final energy	-0.3059	Ry per atom
! energy of formation from the pure elements	-0.249	eV per atom
! calculated density	10.0	g cm⁻³
! space-group type	I4/m
! density of states at the Fermi level	0.878	states/eV/atom
&SYSTEM
  ibrav = 0, nat = 13, ntyp = 3
/
ATOMIC_SPECIES
Ho 164.93 Ho.upf
Tl 204.38 Tl.upf
Tb 158.93 Tb.upf
ATOMIC_POSITIONS angstrom
Ho 3.0053 2.4489 8.8935
Ho 0.0000 0.0000 0.0000
Ho 1.8699 0.7490 3.0023
Ho 5.8975 7.8787 7.8748
Ho 4.7621 6.1788 1.9836
Tl 3.0885 5.6899 8.5661
Tl 6.6961 7.5410 4.7338
Tl 1.0713 1.0867 6.1433
Tl 4.6789 2.9378 2.3109
Tb 3.8613 6.0811 5.5266
Tb 5.9216 4.2230 7.7802
Tb 1.8458 4.4047 3.0969
Tb 3.9061 2.5466 5.3505
CELL_PARAMETERS angstrom
4.9467 0.0000 1.2577
2.4734 8.6277 0.6289
0.3474 0.0000 8.9905

---

# 9
! TbHoTl2 PBE-GGA relaxed; values from VASP
! final energy	-0.2753	Ry per atom
! energy of formation from the pure elements	-0.261	eV per atom
! calculated density	10.4	g cm⁻³
! space-group type	R-3m
! density of states at the Fermi level	0.506	states/eV/atom
&SYSTEM
  ibrav = 0, nat = 4, ntyp = 3
/
ATOMIC_SPECIES
Tb 158.93 Tb.upf
Tl 204.38 Tl.upf
Ho 164.93 Ho.upf
ATOMIC_POSITIONS angstrom
Tb -3.7817 -3.6721 3.7593
Tl -1.8769 -1.8368 1.8731
Tl -5.6866 -5.5073 5.6455
Ho 0.0000 0.0000 0.0000
CELL_PARAMETERS angstrom
-0.3252 -3.7268 -0.2306
1.1893 -2.1630 2.8205
-8.4276 -1.4543 4.9288

---

# 10
! Tb3Ho2Tl PBE-GGA relaxed; values from VASP
! E above lowest polymorph	0	meV/atom
! final energy	-0.3194	Ry per atom
! energy of formation from the pure elements	-0.110	eV per atom
! calculated density	9.4	g cm⁻³
! space-group type	Cmmm
! density of states at the Fermi level	1.147	states/eV/atom
&SYSTEM
  ibrav = 0, nat = 6, ntyp = 3
/
ATOMIC_SPECIES
Ho 164.93 Ho.upf
Tb 158.93 Tb.upf
Tl 204.38 Tl.upf
ATOMIC_POSITIONS angstrom
Ho 0.0000 1.6325 4.8281
Ho 0.0000 3.0997 1.5532
Tb 2.4282 2.3104 -0.7812
Tb 2.4282 3.9123 3.9564
Tb 2.4282 0.8199 2.4249
Tl 0.0000 0.0000 0.0000
CELL_PARAMETERS angstrom
4.8564 0.0000 0.0000
0.0000 4.6208 -1.5624
0.0000 0.1113 7.9437

---

# 11
! TbHo6Tl5 PBE-GGA relaxed; values from VASP
! final energy	-0.2885	Ry per atom
! energy of formation from the pure elements	-0.264	eV per atom
! calculated density	10.8	g cm⁻³
! space-group type	Immm
! density of states at the Fermi level	1.015	states/eV/atom
&SYSTEM
  ibrav = 0, nat = 12, ntyp = 3
/
ATOMIC_SPECIES
Tl 204.38 Tl.upf
Ho 164.93 Ho.upf
Tb 158.93 Tb.upf
ATOMIC_POSITIONS angstrom
Tl 6.7052 -1.6675 0.3406
Tl 2.2545 -2.9527 -2.3333
Tl 1.3399 -1.2099 2.8258
Tl 4.0083 -4.0432 0.7411
Tl 4.0368 1.1657 2.4253
Ho 0.7165 -3.3687 0.4265
Ho 2.7499 -6.0315 -1.6781
Ho 4.7072 -1.9365 3.1101
Ho 3.3379 -0.9409 0.0563
Ho 5.4637 -3.7249 -2.1439
Ho 2.5813 0.8475 5.3103
Tb 0.0000 0.0000 0.0000
CELL_PARAMETERS angstrom
-1.0426 -3.4948 3.4151
4.5090 -5.9055 -4.6666
4.5787 6.5228 4.4180

---

# 12
! Tb4Ho6Tl PBE-GGA relaxed; values from VASP
! final energy	-0.3245	Ry per atom
! energy of formation from the pure elements	-0.019	eV per atom
! calculated density	8.9	g cm⁻³
! space-group type	Cm
! density of states at the Fermi level	1.228	states/eV/atom
&SYSTEM
  ibrav = 0, nat = 11, ntyp = 3
/
ATOMIC_SPECIES
Ho 164.93 Ho.upf
Tl 204.38 Tl.upf
Tb 158.93 Tb.upf
ATOMIC_POSITIONS angstrom
Ho 2.0816 5.0124 4.7173
Ho 3.3629 5.3278 -1.3707
Ho 0.0960 3.8091 2.0646
Ho 2.0837 0.5536 2.1346
Ho 3.1435 8.4163 -2.1163
Ho 2.5334 1.4166 7.8667
Tl 0.0712 7.1871 3.7684
Tb 1.2738 6.1744 -4.0195
Tb 1.6415 7.2704 0.9123
Tb 1.7412 2.4420 -0.7614
Tb 0.4391 1.9722 4.9972
CELL_PARAMETERS angstrom
3.6028 0.1815 -0.3090
0.7178 9.2006 -7.4345
-0.7221 -1.6935 11.7922